# InCo3Se | Alexandria | SCAN | PBEsol geometry
data_InCo3Se
_cell_length_a 4.612
_cell_length_b 4.612
_cell_length_c 4.612
_cell_angle_alpha 90.00
_cell_angle_beta 90.00
_cell_angle_gamma 90.00
_symmetry_space_group_name_H-M 'P m -3 m'
_symmetry_Int_Tables_number 221
_symmetry_space_group_name_Hall '-P 4 2 3'
loop_
_atom_site_label
_atom_site_fract_x
_atom_site_fract_y
_atom_site_fract_z
In1 0.000 0.000 0.000
Co1 0.000 0.000 0.500
Se1 0.500 0.500 0.500
# **Formation energy (no corrections)**: 1.34 eV per atom
# **Magnetization**: 5.021 μB/cell
# **Total energy**: -0.7254 Ha/atom

# InCoSe2 | Alexandria | SCAN | PBEsol geometry
data_InCoSe2
_cell_length_a 4.008
_cell_length_b 3.473
_cell_length_c 5.874
_cell_angle_alpha 90.00
_cell_angle_beta 101.30
_cell_angle_gamma 90.00
_symmetry_space_group_name_H-M 'P 1 m 1'
_symmetry_Int_Tables_number 6
_symmetry_space_group_name_Hall 'P -2y'
loop_
_atom_site_label
_atom_site_fract_x
_atom_site_fract_y
_atom_site_fract_z
In1 0.000 0.000 0.000
Co1 0.437 0.500 0.880
Se1 0.390 0.000 0.624
Se2 0.702 0.500 0.260
# **Formation energy (no corrections)**: -0.04 eV per atom
# **Magnetization**: 1.234 μB/cell
# **Total energy**: -0.8361 Ha/atom

# InCo3Se | Alexandria | SCAN | PBEsol geometry
data_InCo3Se
_cell_length_a 4.257
_cell_length_b 4.257
_cell_length_c 4.257
_cell_angle_alpha 90.00
_cell_angle_beta 90.00
_cell_angle_gamma 90.00
_symmetry_space_group_name_H-M 'P m -3 m'
_symmetry_Int_Tables_number 221
_symmetry_space_group_name_Hall '-P 4 2 3'
loop_
_atom_site_label
_atom_site_fract_x
_atom_site_fract_y
_atom_site_fract_z
In1 0.000 0.000 0.000
Co1 0.000 0.500 0.500
Se1 0.500 0.500 0.500
# **Formation energy (no corrections)**: 0.62 eV per atom
# **Magnetization**: 3.416 μB/cell
# **Total energy**: -0.7518 Ha/atom

# InCoSe2 | Alexandria | SCAN | PBEsol geometry
data_InCoSe2
_cell_length_a 4.249
_cell_length_b 4.262
_cell_length_c 8.142
_cell_angle_alpha 90.00
_cell_angle_beta 90.00
_cell_angle_gamma 90.00
_symmetry_space_group_name_H-M 'C m m m'
_symmetry_Int_Tables_number 65
_symmetry_space_group_name_Hall '-C 2 2'
loop_
_atom_site_label
_atom_site_fract_x
_atom_site_fract_y
_atom_site_fract_z
In1 0.000 0.000 0.000
Co1 0.000 0.000 0.500
Se1 0.000 0.500 0.326
# **Formation energy (no corrections)**: 0.17 eV per atom
# **Magnetization**: 2.515 μB/cell
# **Total energy**: -0.8284 Ha/atom

# InCoSe3 | Alexandria | SCAN | PBEsol geometry
data_InCoSe3
_cell_length_a 4.671
_cell_length_b 4.671
_cell_length_c 4.671
_cell_angle_alpha 90.00
_cell_angle_beta 90.00
_cell_angle_gamma 90.00
_symmetry_space_group_name_H-M 'P m -3 m'
_symmetry_Int_Tables_number 221
_symmetry_space_group_name_Hall '-P 4 2 3'
loop_
_atom_site_label
_atom_site_fract_x
_atom_site_fract_y
_atom_site_fract_z
In1 0.000 0.000 0.000
Co1 0.500 0.500 0.500
Se1 0.000 0.500 0.500
# **Formation energy (no corrections)**: 0.19 eV per atom
# **Magnetization**: 0.392 μB/cell
# **Total energy**: -0.8082 Ha/atom

# InCoSe2 | Alexandria | SCAN | PBEsol geometry
data_InCoSe2
_cell_length_a 2.924
_cell_length_b 2.924
_cell_length_c 8.734
_cell_angle_alpha 90.00
_cell_angle_beta 90.00
_cell_angle_gamma 90.00
_symmetry_space_group_name_H-M 'P 4 m m'
_symmetry_Int_Tables_number 99
_symmetry_space_group_name_Hall 'P 4 -2'
loop_
_atom_site_label
_atom_site_fract_x
_atom_site_fract_y
_atom_site_fract_z
In1 0.000 0.000 0.000
Co1 0.500 0.500 0.768
Se1 0.000 0.000 0.636
Se2 0.500 0.500 0.295
# **Formation energy (no corrections)**: 0.20 eV per atom
# **Magnetization**: 1.183 μB/cell
# **Total energy**: -0.8275 Ha/atom

# In2CoTeSe | Alexandria | SCAN | PBEsol geometry
data_In2CoTeSe
_cell_length_a 5.220
_cell_length_b 5.220
_cell_length_c 4.230
_cell_angle_alpha 90.00
_cell_angle_beta 90.00
_cell_angle_gamma 90.00
_symmetry_space_group_name_H-M 'P 4/m m m'
_symmetry_Int_Tables_number 123
_symmetry_space_group_name_Hall '-P 4 2'
loop_
_atom_site_label
_atom_site_fract_x
_atom_site_fract_y
_atom_site_fract_z
In1 0.000 0.500 0.000
Co1 0.000 0.000 0.000
Te1 0.500 0.500 0.500
Se1 0.000 0.000 0.500
# **Formation energy (no corrections)**: 0.03 eV per atom
# **Magnetization**: 0.917 μB/cell
# **Total energy**: -1.0381 Ha/atom

# InCo3Si | Alexandria | SCAN | PBEsol geometry
data_InCo3Si
_cell_length_a 4.548
_cell_length_b 4.548
_cell_length_c 4.548
_cell_angle_alpha 90.00
_cell_angle_beta 90.00
_cell_angle_gamma 90.00
_symmetry_space_group_name_H-M 'P m -3 m'
_symmetry_Int_Tables_number 221
_symmetry_space_group_name_Hall '-P 4 2 3'
loop_
_atom_site_label
_atom_site_fract_x
_atom_site_fract_y
_atom_site_fract_z
In1 0.000 0.000 0.000
Co1 0.000 0.000 0.500
Si1 0.500 0.500 0.500
# **Formation energy (no corrections)**: 1.74 eV per atom
# **Magnetization**: 4.990 μB/cell
# **Total energy**: -0.6366 Ha/atom

# In2CoSi | Alexandria | SCAN | PBEsol geometry
data_In2CoSi
_cell_length_a 5.455
_cell_length_b 7.774
_cell_length_c 3.194
_cell_angle_alpha 90.00
_cell_angle_beta 90.00
_cell_angle_gamma 90.00
_symmetry_space_group_name_H-M 'C m m m'
_symmetry_Int_Tables_number 65
_symmetry_space_group_name_Hall '-C 2 2'
loop_
_atom_site_label
_atom_site_fract_x
_atom_site_fract_y
_atom_site_fract_z
In1 0.250 0.250 0.000
Co1 0.000 0.000 0.500
Si1 0.000 0.500 0.500
# **Formation energy (no corrections)**: 0.49 eV per atom
# **Magnetization**: 3.328 μB/cell
# **Total energy**: -0.8463 Ha/atom

# InCo2Si | Alexandria | SCAN | PBEsol geometry
data_InCo2Si
_cell_length_a 2.8093
_cell_length_b 2.8093
_cell_length_c 23.0012
_cell_angle_alpha 90.00
_cell_angle_beta 90.00
_cell_angle_gamma 120.00
_symmetry_space_group_name_H-M 'R -3 m'
_symmetry_Int_Tables_number 166
_symmetry_space_group_name_Hall '-R 3 2"'
loop_
_atom_site_label
_atom_site_fract_x
_atom_site_fract_y
_atom_site_fract_z
In1 0.0000 0.0000 0.0000
Co1 0.0000 0.0000 0.2393
Si1 0.0000 0.0000 0.5000
# **Formation energy (no corrections)**: 0.15 eV per atom
# **Magnetization**: 4.155 μB/cell
# **Total energy**: -0.7113 Ha/atom

# In2CoSi | Alexandria | SCAN | PBEsol geometry
data_In2CoSi
_cell_length_a 8.674
_cell_length_b 3.275
_cell_length_c 5.083
_cell_angle_alpha 90.00
_cell_angle_beta 104.36
_cell_angle_gamma 90.00
_symmetry_space_group_name_H-M 'C 1 2/m 1'
_symmetry_Int_Tables_number 12
_symmetry_space_group_name_Hall '-C 2y'
loop_
_atom_site_label
_atom_site_fract_x
_atom_site_fract_y
_atom_site_fract_z
In1 0.239 0.000 0.231
Co1 0.000 0.500 0.000
Si1 0.000 0.000 0.500
# **Formation energy (no corrections)**: 0.54 eV per atom
# **Magnetization**: 2.799 μB/cell
# **Total energy**: -0.8445 Ha/atom

# In2CoSi | Alexandria | SCAN | PBEsol geometry
data_In2CoSi
_cell_length_a 3.1495
_cell_length_b 3.1495
_cell_length_c 24.6779
_cell_angle_alpha 90.00
_cell_angle_beta 90.00
_cell_angle_gamma 120.00
_symmetry_space_group_name_H-M 'R -3 m'
_symmetry_Int_Tables_number 166
_symmetry_space_group_name_Hall '-R 3 2"'
loop_
_atom_site_label
_atom_site_fract_x
_atom_site_fract_y
_atom_site_fract_z
In1 0.0000 0.0000 0.2422
Co1 0.0000 0.0000 0.5000
Si1 0.0000 0.0000 0.0000
# **Formation energy (no corrections)**: 0.53 eV per atom
# **Magnetization**: 3.301 μB/cell
# **Total energy**: -0.8451 Ha/atom